Crystalline YTc2 at its relaxed geometry. Source: Alexandria via LeMat-Bulk, functional PBE.

* excess energy over the best structure of this formula in the dataset: 296 meV/atom
* N(E_F): 4.2 states/eV/f.u.
* energy relative to the elements: 0.120 eV/atom

a b c (Å): 4.095 4.095 4.503
angles (deg): 90.00 90.00 120.00
Element x y z (fractional)
Tc  0.333  0.667  0.524
Tc  0.667  0.333  0.476
Y  0.000  0.000  0.000


Crystalline YTc at its relaxed geometry. Source: Alexandria via LeMat-Bulk, functional PBE.

* N(E_F): 2.4 states/eV/f.u.
* energy relative to the elements: 0.360 eV/atom

a b c (Å): 4.045 5.780 4.045
angles (deg): 69.52 90.00 110.48
Element x y z (fractional)
Tc  0.000  0.000  0.000
Tc  0.750  0.500  0.750
Y  0.500  0.000  0.500
Y  0.250  0.500  0.250


Crystalline YTc at its relaxed geometry. Source: Alexandria via LeMat-Bulk, functional PBE.

* N(E_F): 3.3 states/eV/f.u.
* energy relative to the elements: 1.453 eV/atom

a b c (Å): 4.929 4.929 5.588
angles (deg): 90.00 90.00 120.00
Element x y z (fractional)
Y  0.333  0.667  0.250
Y  0.667  0.333  0.750
Tc  0.333  0.667  0.750
Tc  0.667  0.333  0.250


Crystalline Y4Tc5 at its relaxed geometry. Source: Alexandria via LeMat-Bulk, functional PBE.

* excess energy over the best structure of this formula in the dataset: 161 meV/atom
* N(E_F): 13.3 states/eV/f.u.
* energy relative to the elements: 0.471 eV/atom

a b c (Å): 8.584 8.584 5.611
angles (deg): 90.00 90.00 120.00
Element x y z (fractional)
Tc  0.333  0.667  0.500
Tc  0.693  0.693  0.750
Tc  0.000  0.693  0.250
Tc  0.307  0.000  0.750
Tc  0.000  0.307  0.750
Tc  0.693  0.000  0.250
Tc  0.333  0.667  0.000
Tc  0.667  0.333  0.500
Tc  0.667  0.333  0.000
Tc  0.307  0.307  0.250
Y  0.376  0.000  0.250
Y  0.000  0.624  0.750
Y  0.376  0.376  0.750
Y  0.624  0.624  0.250
Y  0.000  0.376  0.250
Y  0.624  0.000  0.750
Y  0.000  0.000  0.500
Y  0.000  0.000  0.000


Crystalline YTc7 at its relaxed geometry. Source: Alexandria via LeMat-Bulk, functional PBE.

* N(E_F): 12.5 states/eV/f.u.
* energy relative to the elements: 0.359 eV/atom

a b c (Å): 5.628 5.628 5.628
angles (deg): 60.00 60.00 60.00
Element x y z (fractional)
Tc  0.500  0.500  0.000
Tc  0.000  0.500  0.000
Tc  0.500  0.500  0.500
Tc  0.000  0.500  0.500
Tc  0.500  0.000  0.000
Tc  0.000  0.000  0.500
Tc  0.500  0.000  0.500
Y  0.000  0.000  0.000


Crystalline YTc2 at its relaxed geometry. Source: Alexandria via LeMat-Bulk, functional PBE.

* excess energy over the best structure of this formula in the dataset: 508 meV/atom
* N(E_F): 4.0 states/eV/f.u.
* energy relative to the elements: 0.333 eV/atom

a b c (Å): 10.256 10.256 4.056
angles (deg): 90.00 90.00 163.21
Element x y z (fractional)
Y  0.684  0.316  0.250
Y  0.316  0.684  0.750
Tc  0.576  0.424  0.750
Tc  0.424  0.576  0.250
Tc  0.960  0.040  0.750
Tc  0.040  0.960  0.250


Crystalline YTc at its relaxed geometry. Source: Alexandria via LeMat-Bulk, functional PBE.

* N(E_F): 1.7 states/eV/f.u.
* energy relative to the elements: 0.164 eV/atom

a b c (Å): 9.146 3.784 5.629
angles (deg): 90.00 90.00 90.00
Element x y z (fractional)
Y  0.795  0.500  0.209
Y  0.705  0.000  0.709
Y  0.205  0.500  0.209
Y  0.295  0.000  0.709
Tc  0.000  0.000  0.488
Tc  0.000  0.500  0.733
Tc  0.500  0.000  0.233
Tc  0.500  0.500  0.988


Crystalline YTc at its relaxed geometry. Source: Alexandria via LeMat-Bulk, functional PBE.

* N(E_F): 3.3 states/eV/f.u.
* energy relative to the elements: 1.947 eV/atom

a b c (Å): 4.440 4.440 4.440
angles (deg): 60.00 60.00 60.00
Element x y z (fractional)
Tc  0.000  0.000  0.000
Y  0.250  0.250  0.250


Crystalline Y3Tc2 at its relaxed geometry. Source: Alexandria via LeMat-Bulk, functional PBE.

* excess energy over the best structure of this formula in the dataset: 94 meV/atom
* N(E_F): 6.4 states/eV/f.u.
* energy relative to the elements: 0.301 eV/atom

a b c (Å): 9.003 7.831 6.041
angles (deg): 79.79 58.88 41.33
Element x y z (fractional)
Y  0.711  0.511  0.290
Y  0.960  0.761  0.539
Y  0.739  0.539  0.761
Y  0.100  0.900  0.900
Y  0.350  0.150  0.150
Y  0.489  0.290  0.511
Tc  0.892  0.692  0.107
Tc  0.558  0.358  0.942
Tc  0.143  0.942  0.358
Tc  0.308  0.107  0.692


Crystalline YTc2 at its relaxed geometry. Source: Alexandria via LeMat-Bulk, functional PBE.

* excess energy over the best structure of this formula in the dataset: 239 meV/atom
* N(E_F): 2.5 states/eV/f.u.
* energy relative to the elements: 0.063 eV/atom

a b c (Å): 4.184 4.184 7.890
angles (deg): 90.00 90.00 120.00
Element x y z (fractional)
Tc  0.333  0.667  0.540
Tc  0.333  0.667  0.960
Tc  0.667  0.333  0.460
Tc  0.667  0.333  0.040
Y  0.000  0.000  0.750
Y  0.000  0.000  0.250


Crystalline YTc at its relaxed geometry. Source: Alexandria via LeMat-Bulk, functional PBE.

* N(E_F): 2.9 states/eV/f.u.
* energy relative to the elements: 0.505 eV/atom

a b c (Å): 3.319 3.319 8.761
angles (deg): 90.00 90.00 120.00
Element x y z (fractional)
Tc  0.333  0.667  0.250
Tc  0.667  0.333  0.750
Y  0.000  0.000  0.000
Y  0.000  0.000  0.500


Crystalline YTc3 at its relaxed geometry. Source: Alexandria via LeMat-Bulk, functional PBE.

* excess energy over the best structure of this formula in the dataset: 127 meV/atom
* N(E_F): 5.7 states/eV/f.u.
* energy relative to the elements: 0.310 eV/atom

a b c (Å): 6.448 6.448 4.304
angles (deg): 90.00 90.00 120.00
Element x y z (fractional)
Y  0.667  0.333  0.750
Y  0.333  0.667  0.250
Tc  0.732  0.866  0.750
Tc  0.134  0.866  0.750
Tc  0.866  0.134  0.250
Tc  0.268  0.134  0.250
Tc  0.866  0.732  0.250
Tc  0.134  0.268  0.750